(1)
# Dy8Zn2Os

A relaxed Dy8Zn2Os crystal (PBE, Alexandria).

Results
relative energy among the computed polymorphs	0.000	eV/atom
energy of formation from the pure elements	-2.0	eV/f.u.

Cell lengths 5.140, 6.787, 9.084 Å; angles 107.17, 106.43, 90.00 degrees
Atoms (fractional coordinates):
Dy 0.409 0.566 0.819
Dy 0.660 0.967 0.320
Dy 0.801 0.690 0.603
Dy 0.974 0.208 0.947
Dy 0.199 0.310 0.397
Dy 0.340 0.033 0.680
Dy 0.591 0.434 0.181
Dy 0.026 0.792 0.053
Zn 0.816 0.284 0.632
Zn 0.184 0.716 0.368
Os 0.500 0.000 0.000

***

(2)
# RbNp2PdO8

A relaxed RbNp2PdO8 crystal (PBE, Alexandria).

Results
uncorrected formation energy	-24.61	eV per formula unit

Cell lengths 5.581, 5.563, 7.135 Å; angles 85.68, 85.68, 76.07 degrees
Each line ends with the local moment (μB).
Atoms (fractional coordinates):
Rb 0.000 0.000 0.500  0.00
Np 0.500 0.500 0.762  0.68
Np 0.500 0.500 0.238  0.68
Pd 0.000 0.000 0.000  -0.04
O 0.196 0.766 0.197  -0.04
O 0.645 0.646 0.023  -0.04
O 0.766 0.196 0.197  -0.04
O 0.804 0.234 0.803  -0.04
O 0.355 0.354 0.977  -0.04
O 0.234 0.804 0.803  -0.04
O 0.641 0.642 0.537  -0.03
O 0.359 0.358 0.463  -0.03

***

(3)
# Ho2ScCr2C4

A relaxed Ho2ScCr2C4 crystal (PBE, Alexandria).

Results
energy of formation from the pure elements	-1.9	eV/f.u.

Cell lengths 3.328, 6.574, 5.818 Å; angles 108.78, 90.00, 104.66 degrees
Atoms (fractional coordinates):
Ho 0.869 0.738 0.464
Ho 0.131 0.262 0.536
Sc 0.000 0.000 0.000
Cr 0.323 0.646 0.007
Cr 0.677 0.354 0.993
C 0.784 0.569 0.806
C 0.216 0.431 0.194
C 0.464 0.928 0.242
C 0.536 0.072 0.758